Record 1
Material: AlAg2TeSe4
Method: DFT, PBE
State: optimized geometry

Summary:
DOS(E_F) (states/eV/atom): 0.440
Formation energy without anion corrections (eV/f.u.): -1.911

abc: 5.934 6.518 6.813
angles: 108.80 109.92 99.91
Element x y z (fractional)
Te 0.923 0.721 0.515
Se 0.326 0.815 0.257
Se 0.125 0.225 0.754
Se 0.647 0.591 0.708
Se 0.825 0.304 0.178
Ag 0.236 0.210 0.399
Ag 0.336 0.026 0.999
Al 0.970 0.494 0.966

=====

Record 2
Material: Cd3SnN
Method: DFT, PBE
State: optimized geometry

Summary:
Relative energy among the computed polymorphs (eV/atom): 0.787
DOS(E_F) (states/eV/atom): 0.730
Formation energy without anion corrections (eV/f.u.): 6.236

abc: 5.710 5.710 5.710
angles: 90.00 90.00 90.00
Element x y z (fractional)
Cd 0.000 0.000 0.500
Cd 0.500 0.000 0.000
Cd 0.000 0.500 0.000
Sn 0.000 0.000 0.000
N 0.500 0.500 0.500

=====

Record 3
Material: CaBeP2Cl
Method: DFT, PBE
State: optimized geometry

Summary:
Relative energy among the computed polymorphs (eV/atom): 1.351
DOS(E_F) (states/eV/atom): 0.594
Formation energy without anion corrections (eV/f.u.): 4.453

abc: 5.463 5.463 5.092
angles: 90.00 90.00 90.00
Element x y z (fractional)
P 0.000 0.500 0.000
P 0.500 0.000 0.000
Be 0.500 0.500 0.500
Cl 0.000 0.000 0.500
Ca 0.000 0.000 0.000

=====

Record 4
Material: Cs4Tl3SnI8
Method: DFT, PBE
State: optimized geometry

Summary:
DOS(E_F) (states/eV/atom): 0.007
Formation energy without anion corrections (eV/f.u.): -15.626

abc: 10.322 10.483 10.927
angles: 122.01 118.18 90.00
Element x y z (fractional)
I 0.262 0.741 0.524
I 0.222 0.705 0.977
I 0.741 0.724 0.482
I 0.778 0.295 0.023
I 0.738 0.259 0.476
I 0.259 0.276 0.518
I 0.245 0.295 0.023
I 0.755 0.705 0.977
Cs 0.000 0.000 0.500
Cs 0.000 0.000 0.000
Cs 0.500 0.000 0.500
Cs 0.500 0.000 0.000
Tl 0.500 0.500 0.500
Tl 0.000 0.500 0.500
Tl 0.500 0.500 0.000
Sn 0.000 0.500 0.000

=====

Record 5
Material: DyTlAgPb
Method: DFT, PBE
State: optimized geometry

Summary:
E_form (eV per atom): -0.122
Relative energy among the computed polymorphs (eV/atom): 0.121
DOS(E_F) (states/eV/atom): 0.646

abc: 5.247 5.247 5.247
angles: 60.00 60.00 60.00
Element x y z (fractional)
Pb 0.500 0.500 0.500
Dy 0.750 0.750 0.750
Tl 0.000 0.000 0.000
Ag 0.250 0.250 0.250

=====

Record 6
Material: NdScTe3Pd
Method: DFT, PBE
State: optimized geometry

Summary:
DOS(E_F) (states/eV/atom): 0.076
Formation energy without anion corrections (eV/f.u.): -7.171

abc: 4.165 7.909 10.071
angles: 102.68 90.00 90.00
Element x y z (fractional)
Te 0.750 0.924 0.139
Te 0.250 0.587 0.865
Te 0.750 0.291 0.534
Te 0.750 0.413 0.135
Te 0.250 0.076 0.861
Te 0.250 0.709 0.466
Pd 0.750 0.912 0.406
Pd 0.250 0.088 0.594
Nd 0.750 0.793 0.707
Nd 0.250 0.207 0.293
Sc 0.250 0.685 0.181
Sc 0.750 0.315 0.819

=====

Record 7
Material: Sr2NpBO6
Method: DFT, PBE
State: optimized geometry

Summary:
DOS(E_F) (states/eV/atom): 0.549
Formation energy without anion corrections (eV/f.u.): -27.219

abc: 6.340 4.947 6.412
angles: 64.54 59.63 79.97
Element x y z (fractional)
Sr 0.303 0.823 0.427
Sr 0.697 0.177 0.573
O 0.082 0.187 0.172
O 0.918 0.813 0.828
O 0.721 0.751 0.386
O 0.624 0.270 0.989
O 0.376 0.730 0.011
O 0.279 0.249 0.614
Np 0.000 0.000 0.000
B 0.500 0.500 0.000

=====

Record 8
Material: La5Ho3As8
Method: DFT, PBE
State: optimized geometry

Summary:
E_form (eV per atom): -1.538
DOS(E_F) (states/eV/atom): 0.174

abc: 8.553 8.553 8.547
angles: 59.98 59.98 60.00
Element x y z (fractional)
Ho 0.000 0.000 0.500
Ho 0.500 0.000 0.500
Ho 0.000 0.500 0.500
As 0.750 0.750 0.260
As 0.250 0.760 0.740
As 0.755 0.755 0.736
As 0.245 0.245 0.264
As 0.250 0.250 0.740
As 0.750 0.240 0.260
As 0.240 0.750 0.260
As 0.760 0.250 0.740
La 0.500 0.500 0.000
La 0.500 0.000 0.000
La 0.500 0.500 0.500
La 0.000 0.000 0.000
La 0.000 0.500 0.000

=====

Record 9
Material: Nd5Tl
Method: DFT, PBE
State: optimized geometry

Summary:
E_form (eV per atom): -0.108
Relative energy among the computed polymorphs (eV/atom): 0.000
DOS(E_F) (states/eV/atom): 1.161

abc: 3.737 6.733 8.633
angles: 105.88 90.00 106.11
Element x y z (fractional)
Nd 0.327 0.653 0.695
Nd 0.023 0.047 0.000
Nd 0.046 0.093 0.608
Nd 0.665 0.331 0.345
Nd 0.379 0.758 0.245
Tl 0.726 0.452 0.940